Material: Nb5Os
Method: DFT, GGA-PBE
State: optimized geometry

Output
Raw total energy = -10.46 eV per atom
Formation energy from the elements = -0.197 eV/atom
DOS(E_F) = 5.12 states/eV per cell
Total moment = 0.00 μB/f.u.
Energy above the lowest structure with this stoichiometry = 0 meV per atom

abc: 4.600 4.608 5.433
angles: 115.10 90.00 90.00
Fractional positions:
Nb1 0.500 0.837 0.674
Nb2 0.000 0.663 0.326
Nb3 0.500 0.500 0.000
Nb4 0.000 0.337 0.674
Nb5 0.500 0.163 0.326
Os1 0.000 0.000 0.000